VASP calculation (PBE with a Hubbard U) on an optimized crystal structure of MgFeNF2.

Unit cell a=3.918 b=3.918 c=4.058 alpha=90.00 beta=90.00 gamma=90.00
Atoms (fractional coordinates):
Mg 0.000 0.000 0.000
Fe 0.500 0.500 0.500
N 0.500 0.500 0.000
F 0.000 0.500 0.500
F 0.500 0.000 0.500

Output
- DOS(E_F) (states/eV per atom) = 0.02
- energy above the lowest structure with this stoichiometry (eV/atom) = 0.004